1.
Compound: LiTl2Cu
Source: the Alexandria database
Functional: PBE
Structure: relaxed

Results
final energy: -2.632 eV per atom
E_form: 0.05 eV/atom
size of the total moment: 0.0 μB per cell
symmetry: Pm
N(E_F): 1.0 states/eV/f.u.

abc: 4.169 3.836 5.602
angles: 70.07 90.00 90.00
Positions (direct):
Cu  0.000  0.703  0.471
Li  0.500  0.549  0.776
Tl  0.000  0.979  0.917
Tl  0.500  0.270  0.335

***

2.
Compound: Li2TlCu
Source: the Alexandria database
Functional: PBE
Structure: relaxed

Results
final energy: -2.596 eV per atom
E_form: -0.02 eV/atom
size of the total moment: 0.0 μB per cell
symmetry: P4mm
N(E_F): 1.2 states/eV/f.u.

abc: 3.285 3.285 6.495
angles: 90.00 90.00 90.04
Positions (direct):
Cu  0.500  0.500  0.786
Li  0.000  0.000  0.971
Li  0.500  0.500  0.231
Tl  0.000  0.000  0.512

***

3.
Compound: Li2TlCu2
Source: the Alexandria database
Functional: PBE
Structure: relaxed

Results
final energy: -2.838 eV per atom
E_form: 0.04 eV/atom
size of the total moment: 0.0 μB per cell
symmetry: I4/mmm
energy above the most stable polymorph in this dataset: 45 meV per atom
N(E_F): 1.4 states/eV/f.u.

abc: 3.451 3.451 7.597
angles: 76.87 76.87 90.00
Positions (direct):
Tl  0.000  0.000  0.000
Cu  0.750  0.250  0.500
Cu  0.250  0.750  0.500
Li  0.385  0.385  0.229
Li  0.615  0.615  0.771

***

4.
Compound: Li4TlCu
Source: the Alexandria database
Functional: PBE
Structure: relaxed

Results
final energy: -2.457 eV per atom
E_form: -0.10 eV/atom
size of the total moment: 0.0 μB per cell
symmetry: C2/m
energy above the most stable polymorph in this dataset: 0 meV per atom
N(E_F): 2.3 states/eV/f.u.

abc: 4.929 6.598 7.867
angles: 114.79 109.16 90.00
Positions (direct):
Li  0.171  0.674  0.349
Li  0.374  0.108  0.753
Li  0.000  0.183  0.000
Li  0.626  0.355  0.247
Li  0.829  0.326  0.651
Li  0.626  0.892  0.247
Li  0.000  0.817  0.000
Li  0.374  0.645  0.753
Tl  0.798  0.800  0.600
Tl  0.202  0.200  0.400
Cu  0.258  0.501  0.002
Cu  0.742  0.499  0.998

***

5.
Compound: LiTl2Cu2
Source: the Alexandria database
Functional: PBE
Structure: relaxed

Results
final energy: -2.780 eV per atom
E_form: 0.19 eV/atom
size of the total moment: 0.0 μB per cell
symmetry: P4/mbm
energy above the most stable polymorph in this dataset: 88 meV per atom
N(E_F): 2.2 states/eV/f.u.

abc: 7.867 7.867 3.195
angles: 90.00 90.00 90.00
Positions (direct):
Tl  0.330  0.830  0.000
Tl  0.830  0.670  0.000
Tl  0.670  0.170  0.000
Tl  0.170  0.330  0.000
Cu  0.124  0.624  0.500
Cu  0.624  0.876  0.500
Cu  0.876  0.376  0.500
Cu  0.376  0.124  0.500
Li  0.000  0.000  0.000
Li  0.500  0.500  0.000

***

6.
Compound: LiTlZnCu
Source: the Alexandria database
Functional: PBE
Structure: relaxed

Results
final energy: -2.437 eV per atom
E_form: -0.02 eV/atom
size of the total moment: 0.0 μB per cell
symmetry: F-43m
N(E_F): 2.4 states/eV/f.u.

abc: 4.534 4.534 4.534
angles: 60.00 60.00 60.00
Positions (direct):
Tl  0.500  0.500  0.500
Zn  0.000  0.000  0.000
Cu  0.250  0.250  0.250
Li  0.750  0.750  0.750

***

7.
Compound: LiZrTlCu
Source: the Alexandria database
Functional: PBE
Structure: relaxed

Results
final energy: -4.256 eV per atom
E_form: -0.03 eV/atom
size of the total moment: 0.0 μB per cell
symmetry: F-43m
N(E_F): 2.0 states/eV/f.u.

abc: 4.727 4.727 4.727
angles: 60.00 60.00 60.00
Positions (direct):
Tl  0.750  0.750  0.750
Cu  0.250  0.250  0.250
Zr  0.000  0.000  0.000
Li  0.500  0.500  0.500

***

8.
Compound: Li2Tm3Cu7
Source: the Alexandria database
Functional: PBE
Structure: relaxed

Results
final energy: -3.991 eV per atom
E_form: -0.16 eV/atom
size of the total moment: 0.0 μB per cell
symmetry: R-3m
N(E_F): 7.0 states/eV/f.u.

abc: 5.234 5.234 8.636
angles: 72.36 72.36 60.00
Positions (direct):
Li  0.667  0.667  0.998
Li  0.333  0.333  0.002
Tm  0.000  0.000  0.000
Tm  0.861  0.861  0.417
Tm  0.139  0.139  0.583
Cu  0.500  0.500  0.500
Cu  0.919  0.416  0.250
Cu  0.416  0.919  0.250
Cu  0.416  0.416  0.250
Cu  0.081  0.584  0.750
Cu  0.584  0.584  0.750
Cu  0.584  0.081  0.750